The following is a PBEsol calculation of an optimized crystal structure of ScP2CO, from Alexandria. Values from VASP.

Computed properties:
As for the density of states at the Fermi level: 1.488 states/eV/cell. Its total magnetization is 0.000 Bohr magnetons per cell. The electronic total energy is -6.43 eV/atom. As for the space-group type: No. 123.

Structure (Quantum ESPRESSO input):
```
&SYSTEM
  ibrav = 0, nat = 5, ntyp = 4
/
ATOMIC_SPECIES
C 12.01 C.upf
P 30.97 P.upf
Sc 44.96 Sc.upf
O 16.00 O.upf
ATOMIC_POSITIONS angstrom
C 0.0000 0.0000 0.0000
P -0.1798 -0.6560 -1.6873
P 1.8104 -0.0645 -0.1678
Sc 1.6314 -2.9144 -1.0023
O 0.0008 -2.1938 0.8528
CELL_PARAMETERS angstrom
-0.3596 -1.3119 -3.3747
3.6207 -0.1291 -0.3356
0.0016 -4.3877 1.7056
```


The following is a PBEsol calculation of an optimized crystal structure of BeSi2Cl, from Alexandria. Values from VASP.

Computed properties:
As for the density of states at the Fermi level: 1.008 states/eV/cell. Its total magnetization is 0.000 Bohr magnetons per cell. As for the space-group type: No. 47. Its energy above the most stable polymorph in this dataset is 3.9 kJ/mol of atoms.

Structure (Quantum ESPRESSO input):
```
&SYSTEM
  ibrav = 0, nat = 4, ntyp = 3
/
ATOMIC_SPECIES
Si 28.09 Si.upf
Cl 35.45 Cl.upf
Be 9.01 Be.upf
ATOMIC_POSITIONS angstrom
Si 0.0000 0.0000 0.0000
Si 1.3776 0.0000 2.3500
Cl 0.0000 2.2411 2.3500
Be 1.3776 2.2411 0.0000
CELL_PARAMETERS angstrom
2.7552 0.0000 0.0000
0.0000 4.4822 0.0000
0.0000 0.0000 4.7000
```


The following is a PBEsol calculation of an optimized crystal structure of Be2TeF, from Alexandria. Values from VASP.

Computed properties:
As for the density of states at the Fermi level: 1.103 states/eV/cell. Its total magnetization is 0.000 Bohr magnetons per cell. As for the space-group type: No. 225. Its energy above the most stable polymorph in this dataset is 38.3 kJ/mol of atoms.

Structure (Quantum ESPRESSO input):
```
&SYSTEM
  ibrav = 0, nat = 4, ntyp = 3
/
ATOMIC_SPECIES
F 19.00 F.upf
Be 9.01 Be.upf
Te 127.60 Te.upf
ATOMIC_POSITIONS angstrom
F 0.0000 0.0000 0.0000
Be 6.3372 3.6588 2.5872
Be 2.1124 1.2196 0.8624
Te 4.2248 2.4392 1.7248
CELL_PARAMETERS angstrom
4.2248 0.0000 0.0000
2.1124 3.6588 0.0000
2.1124 1.2196 3.4496
```


The following is a PBEsol calculation of an optimized crystal structure of CsMn2Tc, from Alexandria. Values from VASP.

Computed properties:
As for the density of states at the Fermi level: 7.236 states/eV/cell. For the formation energy, the calculation gives 1.847 eV/atom. Its total magnetization is 5.586 Bohr magnetons per cell. As for the space-group type: No. 225.

Structure (Quantum ESPRESSO input):
```
&SYSTEM
  ibrav = 0, nat = 4, ntyp = 3
/
ATOMIC_SPECIES
Tc 98.00 Tc.upf
Mn 54.94 Mn.upf
Cs 132.91 Cs.upf
ATOMIC_POSITIONS angstrom
Tc 0.0000 0.0000 0.0000
Mn -2.0506 -1.3876 -1.4361
Mn -6.1517 -4.1627 -4.3083
Cs -4.1011 -2.7751 -2.8722
CELL_PARAMETERS angstrom
-0.8671 -2.9318 -3.5354
-3.4572 -3.1260 0.3505
-3.8779 0.5075 -2.5594
```


The following is a PBEsol calculation of an optimized crystal structure of Ag2RuRh, from Alexandria. Values from VASP.

Computed properties:
As for the density of states at the Fermi level: 5.640 states/eV/cell. For the formation energy, the calculation gives 0.487 eV/atom. Its total magnetization is 0.002 Bohr magnetons per cell. As for the space-group type: No. 10. Its energy above the most stable polymorph in this dataset is 12.4 kJ/mol of atoms.

Structure (Quantum ESPRESSO input):
```
&SYSTEM
  ibrav = 0, nat = 4, ntyp = 3
/
ATOMIC_SPECIES
Ag 107.87 Ag.upf
Rh 102.91 Rh.upf
Ru 101.07 Ru.upf
ATOMIC_POSITIONS angstrom
Ag -3.1126 0.3600 2.5270
Ag -1.0369 0.1068 0.8358
Rh -0.5716 -1.7457 2.8091
Ru 1.1954 0.3290 2.4312
CELL_PARAMETERS angstrom
-0.3077 2.3081 1.3035
-3.8418 -1.8413 2.0593
2.6986 -1.6502 3.5589
```


The following is a PBEsol calculation of an optimized crystal structure of SrHg2Rh, from Alexandria. Values from VASP.

Computed properties:
As for the density of states at the Fermi level: 1.567 states/eV/cell. For the formation energy, the calculation gives -0.252 eV/atom. Its total magnetization is 0.000 Bohr magnetons per cell. As for the space-group type: No. 160.

Structure (Quantum ESPRESSO input):
```
&SYSTEM
  ibrav = 0, nat = 4, ntyp = 3
/
ATOMIC_SPECIES
Hg 200.59 Hg.upf
Rh 102.91 Rh.upf
Sr 87.62 Sr.upf
ATOMIC_POSITIONS angstrom
Hg -4.5144 0.1782 -6.6677
Hg -1.8793 -1.6344 -2.1584
Rh -3.2734 -1.0739 -4.3998
Sr -5.2243 -3.0345 -6.5468
CELL_PARAMETERS angstrom
-4.0737 0.8226 -2.0614
-0.3212 -0.1035 -4.6266
-2.6028 -4.9083 -2.0351
```